(1)
Compound: BaMoCl2
Source: Alexandria via LeMat-Bulk
Functional: PBEsol
Structure: optimized geometry

POSCAR file:
```
BaMoCl2
1.0
3.268 0.000 0.000
1.634 2.830 0.000
1.634 0.943 9.512
Cl Mo Ba
2 1 1
direct
0.891 0.891 0.328 Cl
0.109 0.109 0.672 Cl
0.500 0.500 0.500 Mo
0.000 0.000 0.000 Ba
```

Results
Final energy: -4.605 eV per atom
Energy relative to the lowest polymorph listed for this composition: 0.3659 eV/atom
Formation energy without anion corrections: -0.122 eV per atom

---

(2)
Compound: BeCd2Te
Source: Alexandria via LeMat-Bulk
Functional: PBEsol
Structure: optimized geometry

POSCAR file:
```
BeCd2Te
1.0
3.668 0.000 0.000
1.834 5.069 0.495
1.834 1.680 4.808
Cd Te Be
2 1 1
direct
0.256 0.244 0.244 Cd
0.039 0.961 0.961 Cd
0.446 0.554 0.554 Te
0.759 0.741 0.741 Be
```

Results
Final energy: -2.146 eV per atom
Energy relative to the lowest polymorph listed for this composition: 0.1094 eV/atom
Formation energy without anion corrections: 0.334 eV per atom

---

(3)
Compound: CaPt2Cl
Source: Alexandria via LeMat-Bulk
Functional: PBEsol
Structure: optimized geometry

POSCAR file:
```
CaPt2Cl
1.0
3.546 0.000 -0.034
0.000 3.625 0.000
-0.072 0.000 6.799
Cl Pt Ca
1 2 1
direct
0.738 0.500 0.322 Cl
0.258 0.500 0.818 Pt
0.760 0.000 0.868 Pt
0.245 0.000 0.491 Ca
```

Results
Final energy: -5.292 eV per atom
Energy relative to the lowest polymorph listed for this composition: 0.0000 eV/atom
Formation energy without anion corrections: -0.775 eV per atom